Tl3FeAs2O6 | PBE with a Hubbard U | relaxed

```
Tl3FeAs2O6
1.0
-1.8482 3.0626 4.5410
-3.7622 -3.0574 -3.1486
1.0692 -5.7748 4.3299
Tl Fe As O
3 1 2 6
direct
0.3333 0.6667 0.6955
0.6667 0.3333 0.3045
0.0000 0.0000 0.0000
0.0000 0.0000 0.5000
0.6667 0.3333 0.7670
0.3333 0.6667 0.2330
0.6591 0.8295 0.3383
0.1704 0.3409 0.3383
0.1704 0.8295 0.3383
0.8296 0.6591 0.6617
0.3409 0.1705 0.6617
0.8296 0.1705 0.6617
```

Output
For the calculated volume, the calculation gives 17.60 Å³ per atom. For the total energy, the calculation gives -64.148 eV per formula unit. The calculation puts the magnetization at 5.00 μB/cell.